Computed, not measured: Sr2CaBr after structural relaxation at the PBE-GGA level of DFT.

Calculated values
- SG: I4/mmm, No. 139
- Energy above the most stable polymorph in this dataset: 374 meV per atom
- Magnetization: 0.000 μB/atom
- ρ: 2.773 g cm⁻³

a = 5.389 Å, b = 5.389 Å, c = 12.175 Å
α = 90.00°, β = 90.00°, γ = 90.00°
Fractional coordinates of all 8 atoms:
Sr  0.000  0.500  0.250
Sr  0.000  0.500  0.750
Sr  0.500  0.000  0.250
Sr  0.500  0.000  0.750
Ca  0.000  0.000  0.000
Ca  0.500  0.500  0.500
Br  0.000  0.000  0.500
Br  0.500  0.500  0.000